Here is NaTbCo2F8 after structural relaxation from Alexandria via LeMat-Bulk. Energies are from GGA+U.

Structure (extended XYZ):
```
12
Lattice="5.016 0.001 -0.002 0.054 5.017 -0.003 0.008 0.010 6.684" Properties=species:S:1:pos:R:3 pbc="T T T"
F 1.108 3.954 5.084
F 1.104 3.949 1.595
F 3.969 1.073 1.595
F 1.629 1.603 3.343
F 1.598 1.570 -0.001
F 3.974 1.078 5.084
F 3.479 3.457 6.680
F 3.449 3.424 3.337
Tb 0.000 0.000 0.000
Co 2.541 2.516 4.928
Co 2.537 2.511 1.751
Na 0.004 0.005 3.342
```

Properties
VASP energy (eV/atom): -5.466
Space group: P-1 (2)
Total moment (μB/cell): 6.0
Calculated density (g/cm³): 4.46